## w
# SbSBr3

SbSBr3 after structural relaxation (PBE-GGA, Alexandria). Values from VASP.

The calculated volume comes out at 34.86 Å³ per atom. As for the size of the total moment: 0.40 μB/atom.

The structure in Quantum ESPRESSO input format:
```
&SYSTEM
  ibrav = 0, nat = 5, ntyp = 3
/
ATOMIC_SPECIES
S 32.06 S.upf
Br 79.90 Br.upf
Sb 121.76 Sb.upf
ATOMIC_POSITIONS crystal
S 0.500 0.500 0.500
Br 0.000 0.500 0.000
Br 0.500 0.000 0.000
Br 0.000 0.000 0.500
Sb 0.000 0.000 0.000
CELL_PARAMETERS angstrom
5.586 0.000 0.000
0.000 5.586 0.000
0.000 0.000 5.586
```

## x
# SbSBr3

SbSBr3 after structural relaxation (PBE-GGA, Alexandria). Values from VASP.

The calculated volume comes out at 27.79 Å³ per atom. As for the size of the total moment: 0.00 μB/atom.

The structure in Quantum ESPRESSO input format:
```
&SYSTEM
  ibrav = 0, nat = 5, ntyp = 3
/
ATOMIC_SPECIES
Sb 121.76 Sb.upf
Br 79.90 Br.upf
S 32.06 S.upf
ATOMIC_POSITIONS crystal
Sb 0.500 0.500 0.500
Br 0.000 0.000 0.500
Br 0.000 0.500 0.000
Br 0.500 0.000 0.000
S 0.000 0.000 0.000
CELL_PARAMETERS angstrom
5.179 0.000 0.000
0.000 5.179 0.000
0.000 0.000 5.179
```

Winner for stability: w

## w
# SbS2Br2

SbS2Br2 after structural relaxation (PBE-GGA, Alexandria). Values from VASP.

The calculated volume comes out at 39.06 Å³ per atom. As for the size of the total moment: 0.00 μB/atom.

The structure in Quantum ESPRESSO input format:
```
&SYSTEM
  ibrav = 0, nat = 10, ntyp = 3
/
ATOMIC_SPECIES
S 32.06 S.upf
Sb 121.76 Sb.upf
Br 79.90 Br.upf
ATOMIC_POSITIONS crystal
S 0.949 0.732 0.000
S 0.757 0.584 0.000
S 0.243 0.416 0.000
S 0.051 0.268 0.000
Sb 0.165 0.500 0.671
Sb 0.835 0.500 0.329
Br 0.946 0.271 0.567
Br 0.487 0.729 0.567
Br 0.513 0.271 0.433
Br 0.054 0.729 0.433
CELL_PARAMETERS angstrom
-6.093 -3.282 2.266
0.249 -6.809 -3.647
0.509 -4.452 6.624
```

## x
# SbS2Br2

SbS2Br2 after structural relaxation (PBE-GGA, Alexandria). Values from VASP.

The calculated volume comes out at 47.85 Å³ per atom. As for the size of the total moment: 0.54 μB/atom.

The structure in Quantum ESPRESSO input format:
```
&SYSTEM
  ibrav = 0, nat = 10, ntyp = 3
/
ATOMIC_SPECIES
Sb 121.76 Sb.upf
Br 79.90 Br.upf
S 32.06 S.upf
ATOMIC_POSITIONS crystal
Sb 0.500 0.500 0.000
Sb 0.000 0.000 0.000
Br 0.316 0.184 0.000
Br 0.184 0.684 0.000
Br 0.684 0.816 0.000
Br 0.816 0.316 0.000
S 0.588 0.912 0.500
S 0.912 0.412 0.500
S 0.088 0.588 0.500
S 0.412 0.088 0.500
CELL_PARAMETERS angstrom
7.647 0.000 0.000
0.000 7.647 0.000
0.000 0.000 8.184
```

## y
# SbS2Br2

SbS2Br2 after structural relaxation (PBE-GGA, Alexandria). Values from VASP.

The calculated volume comes out at 27.85 Å³ per atom. As for the size of the total moment: 0.00 μB/atom.

The structure in Quantum ESPRESSO input format:
```
&SYSTEM
  ibrav = 0, nat = 5, ntyp = 3
/
ATOMIC_SPECIES
S 32.06 S.upf
Br 79.90 Br.upf
Sb 121.76 Sb.upf
ATOMIC_POSITIONS crystal
S 0.250 0.750 0.500
S 0.750 0.250 0.500
Br 0.581 0.581 0.837
Br 0.419 0.419 0.163
Sb 0.000 0.000 0.000
CELL_PARAMETERS angstrom
-1.746 -0.995 2.792
0.168 -3.268 -1.059
9.334 -3.504 6.709
```

Winner for stability: w